[1]
Computed, not measured: an optimized crystal structure of ErSnIrPt at the PBE-GGA level of DFT.

Output
Total DFT energy (no corrections) = -6.552 eV per atom
Calculated density = 14.775 Mg/m³
Calculated volume = 18.92 Å³/atom
Formation energy = -0.6846 eV/atom
Spin magnetization = 0.00 μB/cell
SG = F-43m, No. 216

Unit cell a=4.7476 b=4.7476 c=4.7476 alpha=60.00 beta=60.00 gamma=60.00
With the nearest neighbours (Å) after each atom.
Positions (direct):
1 Er 0.0000 0.0000 0.0000  4 Pt 2.91, 4 Ir 2.91
2 Sn 0.5000 0.5000 0.5000  4 Pt 2.91, 4 Ir 2.91
3 Ir 0.2500 0.2500 0.2500  4 Sn 2.91, 4 Er 2.91
4 Pt 0.7500 0.7500 0.7500  4 Sn 2.91, 4 Er 2.91

[2]
Computed, not measured: an optimized crystal structure of LaGe2Mo2 at the PBE-GGA level of DFT.

Output
Total DFT energy (no corrections) = -7.337 eV per atom
Calculated density = 7.585 Mg/m³
Calculated volume = 20.85 Å³/atom
Formation energy = -0.1717 eV/atom
Spin magnetization = 0.00 μB/cell
Energy relative to the lowest polymorph listed for this composition = 0.1884 eV per atom
SG = I4/mmm, No. 139

Unit cell a=5.6658 b=5.6658 c=5.6658 alpha=129.98 beta=129.98 gamma=73.44
With the nearest neighbours (Å) after each atom.
Positions (direct):
1 La 0.0000 0.0000 0.0000  8 Ge 3.30, 10 Mo 3.42-3.57
2 Ge 0.2500 0.7500 0.5000  4 Mo 2.66
3 Ge 0.7500 0.2500 0.5000  4 Mo 2.66
4 Mo 0.3768 0.3768 0.0000  1 Mo 2.24
5 Mo 0.6232 0.6232 0.0000  1 Mo 2.24

[3]
Computed, not measured: an optimized crystal structure of TlSnH4 at the PBE-GGA level of DFT.

Output
Total DFT energy (no corrections) = -2.855 eV per atom
Calculated density = 4.894 Mg/m³
Calculated volume = 18.50 Å³/atom
Spin magnetization = 0.00 μB/cell
SG = C2/c, No. 15

Unit cell a=6.9016 b=6.9016 c=5.9239 alpha=115.01 beta=115.01 gamma=93.27
With the nearest neighbours (Å) after each atom.
Positions (direct):
1 Tl 0.1251 0.8749 0.7500  2 H 1.80
2 Tl 0.8749 0.1251 0.2500  2 H 1.80
3 Sn 0.4887 0.5113 0.7500  2 H 1.84
4 Sn 0.5113 0.4887 0.2500  2 H 1.84
5 H 0.1263 0.8701 0.0523  1 Tl 1.80
6 H 0.1299 0.8737 0.4477  1 Tl 1.80
7 H 0.1856 0.4710 0.5807  1 Sn 1.84
8 H 0.4710 0.1856 0.0807  1 Sn 1.84
9 H 0.5290 0.8144 0.9193  1 Sn 1.84
10 H 0.8144 0.5290 0.4193  1 Sn 1.84
11 H 0.8701 0.1263 0.5523  1 Tl 1.80
12 H 0.8737 0.1299 0.9477  1 Tl 1.80

[4]
Computed, not measured: an optimized crystal structure of AgAsSe2 at the PBE-GGA level of DFT.

Output
Total DFT energy (no corrections) = -3.142 eV per atom
Calculated density = 7.114 Mg/m³
Calculated volume = 19.88 Å³/atom
Formation energy (no corrections) = 0.4755 eV/atom
Spin magnetization = 0.00 μB/cell
SG = F-43m, No. 216

Unit cell a=4.8270 b=4.8270 c=4.8270 alpha=60.00 beta=60.00 gamma=60.00
With the nearest neighbours (Å) after each atom.
Positions (direct):
1 Ag 0.0000 0.0000 0.0000  4 As 2.96, 4 Se 2.96
2 As 0.7500 0.7500 0.7500  4 Se 2.96, 4 Ag 2.96
3 Se 0.2500 0.2500 0.2500  4 Se 2.96, 4 Ag 2.96
4 Se 0.5000 0.5000 0.5000  4 As 2.96, 4 Se 2.96

[5]
Computed, not measured: an optimized crystal structure of CeTh3TlFe at the PBE-GGA level of DFT.

Output
Total DFT energy (no corrections) = -6.457 eV per atom
Calculated density = 10.726 Mg/m³
Calculated volume = 28.29 Å³/atom
Formation energy = 0.0462 eV/atom
Spin magnetization = 0.84 μB/cell
SG = C2/m, No. 12

Unit cell a=7.3955 b=7.3955 c=7.4024 alpha=92.16 beta=92.16 gamma=57.07
With the nearest neighbours (Å) after each atom.
Positions (direct):
1 Ce 0.2306 0.7694 0.0000  2 Fe 2.97, 1 Ce 3.26, 2 Tl 3.26
2 Ce 0.7694 0.2306 0.0000  2 Fe 2.97, 1 Ce 3.26, 2 Tl 3.26
3 Th 0.1411 0.6064 0.5821  2 Fe 2.71-2.98
4 Th 0.2927 0.2927 0.1541  1 Fe 2.53
5 Th 0.3936 0.8589 0.4179  2 Fe 2.71-2.98
6 Th 0.6064 0.1411 0.5821  2 Fe 2.71-2.98
7 Th 0.7073 0.7073 0.8459  1 Fe 2.53
8 Th 0.8589 0.3936 0.4179  2 Fe 2.71-2.98
9 Tl 0.1689 0.1689 0.7723  5 Th 3.19-3.48, 2 Ce 3.26
10 Tl 0.8311 0.8311 0.2277  5 Th 3.19-3.48, 2 Ce 3.26
11 Fe 0.4719 0.4719 0.3012  3 Th 2.53-2.71
12 Fe 0.5281 0.5281 0.6988  3 Th 2.53-2.71

[6]
Computed, not measured: an optimized crystal structure of MnAgSe2 at the PBE-GGA level of DFT.

Output
Total DFT energy (no corrections) = -4.710 eV per atom
Calculated density = 7.190 Mg/m³
Calculated volume = 18.52 Å³/atom
Formation energy (no corrections) = 0.0371 eV/atom
Spin magnetization = 3.37 μB/cell
SG = P4/mmm, No. 123

Unit cell a=3.2517 b=3.2517 c=7.0050 alpha=90.00 beta=90.00 gamma=90.00
With the nearest neighbours (Å) after each atom.
Positions (direct):
1 Mn 0.0000 0.0000 0.0000  8 Se 2.76
2 Ag 0.0000 0.0000 0.5000  8 Se 3.03, 4 Ag 3.25
3 Se 0.5000 0.5000 0.2175  4 Mn 2.76, 4 Ag 3.03, 1 Se 3.05
4 Se 0.5000 0.5000 0.7825  4 Mn 2.76, 4 Ag 3.03, 1 Se 3.05

[7]
Computed, not measured: an optimized crystal structure of LaNd9Th2 at the PBE-GGA level of DFT.

Output
Total DFT energy (no corrections) = -5.182 eV per atom
Calculated density = 7.565 Mg/m³
Calculated volume = 34.78 Å³/atom
Formation energy = 0.0411 eV/atom
Spin magnetization = 0.00 μB/cell
SG = P4/mmm, No. 123

Unit cell a=5.1768 b=5.1768 c=15.5725 alpha=90.00 beta=90.00 gamma=90.00
With the nearest neighbours (Å) after each atom.
Positions (direct):
1 La 0.0000 0.0000 0.0000  12 Nd 3.66-3.72
2 Nd 0.0000 0.5000 0.1718  2 Th 3.62, 8 Nd 3.62-3.72, 2 La 3.72
3 Nd 0.0000 0.5000 0.5000  8 Nd 3.65-3.66, 4 Th 3.66
4 Nd 0.0000 0.5000 0.8282  2 Th 3.62, 8 Nd 3.62-3.72, 2 La 3.72
5 Nd 0.5000 0.0000 0.1718  2 Th 3.62, 8 Nd 3.62-3.72, 2 La 3.72
6 Nd 0.5000 0.0000 0.5000  8 Nd 3.65-3.66, 4 Th 3.66
7 Nd 0.5000 0.0000 0.8282  2 Th 3.62, 8 Nd 3.62-3.72, 2 La 3.72
8 Nd 0.5000 0.5000 0.0000  4 La 3.66, 8 Nd 3.72
9 Nd 0.5000 0.5000 0.3345  8 Nd 3.62-3.65, 4 Th 3.66
10 Nd 0.5000 0.5000 0.6655  8 Nd 3.62-3.65, 4 Th 3.66
11 Th 0.0000 0.0000 0.3342  12 Nd 3.62-3.66
12 Th 0.0000 0.0000 0.6658  12 Nd 3.62-3.66

[8]
Computed, not measured: an optimized crystal structure of CoSbBr2 at the PBE-GGA level of DFT.

Output
Total DFT energy (no corrections) = -3.683 eV per atom
Calculated density = 5.349 Mg/m³
Calculated volume = 26.43 Å³/atom
Formation energy (no corrections) = -0.0393 eV/atom
Spin magnetization = 0.40 μB/cell
Energy relative to the lowest polymorph listed for this composition = 0.0949 eV per atom
SG = Pm, No. 6

Unit cell a=3.8341 b=3.6059 c=7.8643 alpha=90.00 beta=103.52 gamma=90.00
With the nearest neighbours (Å) after each atom.
Positions (direct):
1 Co 0.0000 0.0000 0.0000  3 Br 2.46-2.51, 4 Sb 2.71
2 Sb 0.4588 0.5000 0.9142  4 Co 2.71
3 Br 0.1085 0.5000 0.2279  2 Co 2.51
4 Br 0.8458 0.0000 0.6776  1 Co 2.46

[9]
Computed, not measured: an optimized crystal structure of HoEr2Cu at the PBE-GGA level of DFT.

Output
Total DFT energy (no corrections) = -4.210 eV per atom
Calculated density = 8.334 Mg/m³
Calculated volume = 28.04 Å³/atom
Formation energy = 0.2395 eV/atom
Spin magnetization = 0.44 μB/cell
Energy relative to the lowest polymorph listed for this composition = 0.3577 eV per atom
SG = R-3m, No. 166

Unit cell a=10.8770 b=10.8770 c=10.8770 alpha=18.42 beta=18.42 gamma=18.42
With the nearest neighbours (Å) after each atom.
Positions (direct):
1 Ho 0.0000 0.0000 0.0000  2 Er 3.38, 6 Ho 3.48
2 Er 0.1053 0.1053 0.1053  3 Cu 2.81
3 Er 0.8947 0.8947 0.8947  3 Cu 2.81
4 Cu 0.5000 0.5000 0.5000  6 Er 2.81

[10]
Computed, not measured: an optimized crystal structure of CdCu2Mo at the PBE-GGA level of DFT.

Output
Total DFT energy (no corrections) = -4.673 eV per atom
Calculated density = 9.283 Mg/m³
Calculated volume = 15.00 Å³/atom
Formation energy = 0.3116 eV/atom
Spin magnetization = 0.00 μB/cell
SG = Pm, No. 6

Unit cell a=2.6728 b=4.2460 c=5.4502 alpha=90.00 beta=104.03 gamma=90.00
With the nearest neighbours (Å) after each atom.
Positions (direct):
1 Cd 0.0000 0.0000 0.0000  2 Cd 2.67, 7 Cu 2.73-2.89
2 Cu 0.6106 0.5000 0.2201  4 Cu 2.54-2.67, 4 Cd 2.76-2.77, 2 Mo 2.76-2.77
3 Cu 0.7427 0.0000 0.4828  4 Cu 2.54-2.67, 4 Mo 2.71, 1 Cd 2.73
4 Mo 0.3376 0.5000 0.6778  2 Mo 2.67, 7 Cu 2.71-2.87

[11]
Computed, not measured: an optimized crystal structure of Tl2NiCl at the PBE-GGA level of DFT.

Output
Total DFT energy (no corrections) = -3.038 eV per atom
Calculated density = 9.050 Mg/m³
Calculated volume = 23.07 Å³/atom
Formation energy (no corrections) = 0.0517 eV/atom
Spin magnetization = 0.00 μB/cell
Energy relative to the lowest polymorph listed for this composition = 0.1774 eV per atom
SG = P4mm, No. 99

Unit cell a=3.3954 b=3.3954 c=8.0045 alpha=90.00 beta=90.00 gamma=90.00
With the nearest neighbours (Å) after each atom.
Positions (direct):
1 Tl 0.0000 0.0000 0.0000  4 Ni 2.74, 1 Cl 2.97
2 Tl 0.5000 0.5000 0.3345  4 Cl 3.37, 8 Tl 3.40-3.60
3 Ni 0.5000 0.5000 0.8360  4 Tl 2.74, 4 Cl 2.92
4 Cl 0.0000 0.0000 0.6291  4 Ni 2.92, 1 Tl 2.97

[12]
Computed, not measured: an optimized crystal structure of LiMnBr2 at the PBE-GGA level of DFT.

Output
Total DFT energy (no corrections) = -4.126 eV per atom
Calculated density = 3.876 Mg/m³
Calculated volume = 23.74 Å³/atom
Formation energy (no corrections) = -0.5187 eV/atom
Spin magnetization = 4.08 μB/cell
Energy relative to the lowest polymorph listed for this composition = 0.1310 eV per atom
SG = Cmmm, No. 65

Unit cell a=3.8629 b=3.8629 c=7.6476 alpha=90.00 beta=90.00 gamma=123.67
With the nearest neighbours (Å) after each atom.
Positions (direct):
1 Li 0.0000 0.0000 0.0000  4 Br 2.60
2 Mn 0.0000 0.0000 0.5000  4 Br 2.69
3 Br 0.5000 0.5000 0.2415  2 Li 2.60, 2 Mn 2.69
4 Br 0.5000 0.5000 0.7585  2 Li 2.60, 2 Mn 2.69